[1]
Here is a crystal of Pr4Si4N7ClO3 relaxed with PBEsol from Alexandria via LeMat-Bulk. Energies are from SCAN.

Crystal system   orthorhombic
Energy   -18.248 eV/atom

```
data_Pr4Si4N7ClO3
_chemical_formula_sum 'Pr16 Si16 N28 Cl4 O12'
_space_group_name_H-M_alt 'P 1'
_space_group_IT_number 1
_cell_length_a 10.324
_cell_length_b 10.389
_cell_length_c 10.521
_cell_angle_alpha 90.00
_cell_angle_beta 90.00
_cell_angle_gamma 90.00
loop_
_space_group_symop_operation_xyz
'x,y,z'
loop_
_atom_site_label
_atom_site_type_symbol
_atom_site_fract_x
_atom_site_fract_y
_atom_site_fract_z
Pr1 Pr 0.817 0.688 0.044
Pr2 Pr 0.107 0.107 0.102
Pr3 Pr 0.194 0.450 0.179
Pr4 Pr 0.456 0.184 0.191
Pr5 Pr 0.544 0.684 0.309
Pr6 Pr 0.806 0.950 0.321
Pr7 Pr 0.893 0.607 0.398
Pr8 Pr 0.183 0.188 0.456
Pr9 Pr 0.683 0.312 0.544
Pr10 Pr 0.393 0.893 0.602
Pr11 Pr 0.306 0.550 0.679
Pr12 Pr 0.044 0.816 0.691
Pr13 Pr 0.956 0.316 0.809
Pr14 Pr 0.694 0.050 0.821
Pr15 Pr 0.607 0.393 0.898
Pr16 Pr 0.317 0.812 0.956
Si1 Si 0.573 0.929 0.071
Si2 Si 0.747 0.198 0.076
Si3 Si 0.081 0.742 0.196
Si4 Si 0.304 0.919 0.244
Si5 Si 0.696 0.419 0.256
Si6 Si 0.919 0.242 0.304
Si7 Si 0.253 0.698 0.424
Si8 Si 0.427 0.429 0.429
Si9 Si 0.927 0.071 0.571
Si10 Si 0.753 0.802 0.576
Si11 Si 0.419 0.258 0.696
Si12 Si 0.196 0.081 0.744
Si13 Si 0.804 0.581 0.756
Si14 Si 0.581 0.758 0.804
Si15 Si 0.247 0.302 0.924
Si16 Si 0.073 0.571 0.929
N1 N 0.634 0.079 0.054
N2 N 0.288 0.258 0.076
N3 N 0.052 0.633 0.078
N4 N 0.650 0.326 0.130
N5 N 0.422 0.945 0.135
N6 N 0.174 0.870 0.150
N7 N 0.870 0.151 0.176
N8 N 0.130 0.651 0.324
N9 N 0.826 0.370 0.350
N10 N 0.578 0.445 0.365
N11 N 0.350 0.826 0.370
N12 N 0.948 0.133 0.422
N13 N 0.712 0.758 0.424
N14 N 0.366 0.579 0.446
N15 N 0.866 0.921 0.554
N16 N 0.212 0.742 0.576
N17 N 0.448 0.367 0.578
N18 N 0.850 0.674 0.630
N19 N 0.078 0.055 0.635
N20 N 0.326 0.130 0.650
N21 N 0.630 0.849 0.676
N22 N 0.370 0.349 0.824
N23 N 0.674 0.630 0.850
N24 N 0.922 0.555 0.865
N25 N 0.150 0.174 0.870
N26 N 0.552 0.867 0.922
N27 N 0.788 0.242 0.924
N28 N 0.134 0.421 0.946
Cl1 Cl 0.426 0.577 0.069
Cl2 Cl 0.574 0.077 0.431
Cl3 Cl 0.074 0.423 0.569
Cl4 Cl 0.926 0.923 0.931
O1 O 0.667 0.834 0.159
O2 O 0.740 0.568 0.211
O3 O 0.929 0.785 0.236
O4 O 0.071 0.285 0.264
O5 O 0.260 0.068 0.289
O6 O 0.333 0.334 0.341
O7 O 0.833 0.166 0.659
O8 O 0.760 0.432 0.711
O9 O 0.571 0.215 0.736
O10 O 0.429 0.715 0.764
O11 O 0.240 0.932 0.789
O12 O 0.167 0.666 0.841
```

=====

[2]
Here is a crystal of OsNCl3 relaxed with PBEsol from Alexandria via LeMat-Bulk. Energies are from SCAN.

Crystal system   cubic
Energy   -20.052 eV/atom

```
data_OsNCl3
_chemical_formula_sum 'Os1 N1 Cl3'
_space_group_name_H-M_alt 'P 1'
_space_group_IT_number 1
_cell_length_a 4.711
_cell_length_b 4.711
_cell_length_c 4.711
_cell_angle_alpha 90.00
_cell_angle_beta 90.00
_cell_angle_gamma 90.00
loop_
_space_group_symop_operation_xyz
'x,y,z'
loop_
_atom_site_label
_atom_site_type_symbol
_atom_site_fract_x
_atom_site_fract_y
_atom_site_fract_z
N1 N 0.500 0.500 0.500
Os1 Os 0.000 0.000 0.000
Cl1 Cl 0.000 0.500 0.000
Cl2 Cl 0.000 0.000 0.500
Cl3 Cl 0.500 0.000 0.000
```

=====

[3]
Here is a crystal of OsN2Cl relaxed with PBEsol from Alexandria via LeMat-Bulk. Energies are from SCAN.

Crystal system   trigonal
Energy   -22.701 eV/atom

```
data_OsN2Cl
_chemical_formula_sum 'Os1 N2 Cl1'
_space_group_name_H-M_alt 'P 1'
_space_group_IT_number 1
_cell_length_a 2.916
_cell_length_b 2.916
_cell_length_c 6.800
_cell_angle_alpha 77.62
_cell_angle_beta 77.62
_cell_angle_gamma 60.00
loop_
_space_group_symop_operation_xyz
'x,y,z'
loop_
_atom_site_label
_atom_site_type_symbol
_atom_site_fract_x
_atom_site_fract_y
_atom_site_fract_z
N1 N 0.908 0.908 0.277
N2 N 0.092 0.092 0.723
Os1 Os 0.000 0.000 0.000
Cl1 Cl 0.500 0.500 0.500
```

=====

[4]
Here is a crystal of OsSNCl2 relaxed with PBEsol from Alexandria via LeMat-Bulk. Energies are from SCAN.

Crystal system   tetragonal
Energy   -19.362 eV/atom

```
data_OsSNCl2
_chemical_formula_sum 'Os1 S1 N1 Cl2'
_space_group_name_H-M_alt 'P 1'
_space_group_IT_number 1
_cell_length_a 3.964
_cell_length_b 3.964
_cell_length_c 4.660
_cell_angle_alpha 90.00
_cell_angle_beta 90.00
_cell_angle_gamma 90.00
loop_
_space_group_symop_operation_xyz
'x,y,z'
loop_
_atom_site_label
_atom_site_type_symbol
_atom_site_fract_x
_atom_site_fract_y
_atom_site_fract_z
S1 S 0.000 0.000 0.500
N1 N 0.000 0.000 0.000
Os1 Os 0.500 0.500 0.500
Cl1 Cl 0.000 0.500 0.000
Cl2 Cl 0.500 0.000 0.000
```

=====

[5]
Here is a crystal of OsS2NCl relaxed with PBEsol from Alexandria via LeMat-Bulk. Energies are from SCAN.

Crystal system   tetragonal
Energy   -19.390 eV/atom

```
data_OsS2NCl
_chemical_formula_sum 'Os1 S2 N1 Cl1'
_space_group_name_H-M_alt 'P 1'
_space_group_IT_number 1
_cell_length_a 3.180
_cell_length_b 4.566
_cell_length_c 4.566
_cell_angle_alpha 90.00
_cell_angle_beta 90.00
_cell_angle_gamma 90.00
loop_
_space_group_symop_operation_xyz
'x,y,z'
loop_
_atom_site_label
_atom_site_type_symbol
_atom_site_fract_x
_atom_site_fract_y
_atom_site_fract_z
S1 S 0.000 0.000 0.500
S2 S 0.000 0.500 0.000
N1 N 0.500 0.000 0.000
Os1 Os 0.500 0.500 0.500
Cl1 Cl 0.000 0.000 0.000
```

=====

[6]
Here is a crystal of TeOsNCl2 relaxed with PBEsol from Alexandria via LeMat-Bulk. Energies are from SCAN.

Crystal system   tetragonal
Energy   -25.210 eV/atom

```
data_TeOsNCl2
_chemical_formula_sum 'Te1 Os1 N1 Cl2'
_space_group_name_H-M_alt 'P 1'
_space_group_IT_number 1
_cell_length_a 3.915
_cell_length_b 5.462
_cell_length_c 5.462
_cell_angle_alpha 90.00
_cell_angle_beta 90.00
_cell_angle_gamma 90.00
loop_
_space_group_symop_operation_xyz
'x,y,z'
loop_
_atom_site_label
_atom_site_type_symbol
_atom_site_fract_x
_atom_site_fract_y
_atom_site_fract_z
N1 N 0.500 0.000 0.000
Te1 Te 0.000 0.000 0.000
Os1 Os 0.500 0.500 0.500
Cl1 Cl 0.000 0.000 0.500
Cl2 Cl 0.000 0.500 0.000
```

=====

[7]
Here is a crystal of PNCl2 relaxed with PBEsol from Alexandria via LeMat-Bulk. Energies are from SCAN.

Crystal system   tetragonal
Energy   -9.635 eV/atom
Energy relative to the lowest polymorph listed for this composition   0 meV per atom

```
data_PNCl2
_chemical_formula_sum 'P8 N8 Cl16'
_space_group_name_H-M_alt 'P 1'
_space_group_IT_number 1
_cell_length_a 6.033
_cell_length_b 11.219
_cell_length_c 11.219
_cell_angle_alpha 90.00
_cell_angle_beta 90.00
_cell_angle_gamma 90.00
loop_
_space_group_symop_operation_xyz
'x,y,z'
loop_
_atom_site_label
_atom_site_type_symbol
_atom_site_fract_x
_atom_site_fract_y
_atom_site_fract_z
Cl1 Cl 0.134 0.602 0.698
Cl2 Cl 0.134 0.398 0.302
Cl3 Cl 0.634 0.802 0.102
Cl4 Cl 0.634 0.198 0.898
Cl5 Cl 0.366 0.898 0.802
Cl6 Cl 0.366 0.102 0.198
Cl7 Cl 0.866 0.698 0.398
Cl8 Cl 0.866 0.302 0.602
Cl9 Cl 0.579 0.550 0.833
Cl10 Cl 0.579 0.450 0.167
Cl11 Cl 0.079 0.667 0.050
Cl12 Cl 0.079 0.333 0.950
Cl13 Cl 0.921 0.950 0.667
Cl14 Cl 0.921 0.050 0.333
Cl15 Cl 0.421 0.833 0.450
Cl16 Cl 0.421 0.167 0.550
N1 N 0.584 0.632 0.592
N2 N 0.584 0.368 0.408
N3 N 0.084 0.908 0.132
N4 N 0.084 0.092 0.868
N5 N 0.916 0.868 0.908
N6 N 0.916 0.132 0.092
N7 N 0.416 0.592 0.368
N8 N 0.416 0.408 0.632
P1 P 0.443 0.542 0.670
P2 P 0.443 0.458 0.330
P3 P 0.943 0.830 0.042
P4 P 0.943 0.170 0.958
P5 P 0.057 0.958 0.830
P6 P 0.057 0.042 0.170
P7 P 0.557 0.670 0.458
P8 P 0.557 0.330 0.542
```

=====

[8]
Here is a crystal of PNCl2 relaxed with PBEsol from Alexandria via LeMat-Bulk. Energies are from SCAN.

Crystal system   orthorhombic
Energy   -9.619 eV/atom
Energy relative to the lowest polymorph listed for this composition   16 meV per atom

```
data_PNCl2
_chemical_formula_sum 'P12 N12 Cl24'
_space_group_name_H-M_alt 'P 1'
_space_group_IT_number 1
_cell_length_a 6.375
_cell_length_b 13.214
_cell_length_c 14.495
_cell_angle_alpha 90.00
_cell_angle_beta 90.00
_cell_angle_gamma 90.00
loop_
_space_group_symop_operation_xyz
'x,y,z'
loop_
_atom_site_label
_atom_site_type_symbol
_atom_site_fract_x
_atom_site_fract_y
_atom_site_fract_z
Cl1 Cl 0.409 0.250 0.324
Cl2 Cl 0.909 0.750 0.176
Cl3 Cl 0.591 0.750 0.676
Cl4 Cl 0.091 0.250 0.824
Cl5 Cl 0.865 0.250 0.400
Cl6 Cl 0.365 0.750 0.100
Cl7 Cl 0.135 0.750 0.600
Cl8 Cl 0.635 0.250 0.900
Cl9 Cl 0.148 0.067 0.590
Cl10 Cl 0.648 0.933 0.910
Cl11 Cl 0.852 0.567 0.410
Cl12 Cl 0.352 0.433 0.090
Cl13 Cl 0.852 0.933 0.410
Cl14 Cl 0.352 0.067 0.090
Cl15 Cl 0.148 0.433 0.590
Cl16 Cl 0.648 0.567 0.910
Cl17 Cl 0.592 0.059 0.679
Cl18 Cl 0.092 0.941 0.821
Cl19 Cl 0.408 0.559 0.321
Cl20 Cl 0.908 0.441 0.179
Cl21 Cl 0.408 0.941 0.321
Cl22 Cl 0.908 0.059 0.179
Cl23 Cl 0.592 0.441 0.679
Cl24 Cl 0.092 0.559 0.821
N1 N 0.375 0.250 0.646
N2 N 0.875 0.750 0.854
N3 N 0.625 0.750 0.354
N4 N 0.125 0.250 0.146
N5 N 0.522 0.146 0.496
N6 N 0.022 0.854 0.004
N7 N 0.478 0.646 0.504
N8 N 0.978 0.354 0.996
N9 N 0.478 0.854 0.504
N10 N 0.978 0.146 0.996
N11 N 0.522 0.354 0.496
N12 N 0.022 0.646 0.004
P1 P 0.567 0.250 0.443
P2 P 0.067 0.750 0.057
P3 P 0.433 0.750 0.557
P4 P 0.933 0.250 0.943
P5 P 0.418 0.145 0.595
P6 P 0.918 0.855 0.905
P7 P 0.582 0.645 0.405
P8 P 0.082 0.355 0.095
P9 P 0.582 0.855 0.405
P10 P 0.082 0.145 0.095
P11 P 0.418 0.355 0.595
P12 P 0.918 0.645 0.905
```

=====

So what do the calculations give for V? Going down the list: 14.849 20.914 12.125 14.648 13.258 23.360 23.731 25.437 A^3/atom.
So what do the calculations give for uncorrected formation energy? Going down the list: -2191 969 1909 1989 2291 1665 -724 -708 meV/atom.